Entry 1:
A plane-wave DFT calculation with GGA-PBE was carried out for a geometry-optimized PaAlSb2 structure.

ΔE_f (raw): -0.263 eV/atom
Crystal system: tetragonal
Total magnetization: 0.02 μB per formula unit
SG: P4/mmm

Lattice parameters (Å, degrees): 3.9515 3.9515 6.2930 90.00 90.00 90.00
Element x y z (fractional)
Pa 0.0000 0.0000 0.0000
Al 0.0000 0.0000 0.5000
Sb 0.5000 0.5000 0.2513
Sb 0.5000 0.5000 0.7487

Entry 2:
A plane-wave DFT calculation with GGA-PBE was carried out for a geometry-optimized Pa2AlSb structure.

Polymorph energy (0 for the lowest one): 0 meV per atom
ΔE_f (raw): -0.181 eV/atom
Crystal system: tetragonal
Total magnetization: 1.53 μB per formula unit
SG: P4/mmm

Lattice parameters (Å, degrees): 4.5958 4.5958 4.4737 90.00 90.00 90.00
Element x y z (fractional)
Pa 0.0000 0.5000 0.0000
Pa 0.5000 0.0000 0.0000
Al 0.0000 0.0000 0.5000
Sb 0.5000 0.5000 0.5000

Entry 3:
A plane-wave DFT calculation with GGA-PBE was carried out for a geometry-optimized Pa2AlSb structure.

Polymorph energy (0 for the lowest one): 416 meV per atom
ΔE_f (raw): 0.235 eV/atom
Crystal system: trigonal
Total magnetization: 0.00 μB per formula unit
SG: R-3m

Lattice parameters (Å, degrees): 11.7392 11.7392 11.7392 15.51 15.51 15.51
Element x y z (fractional)
Pa 0.0876 0.0876 0.0876
Pa 0.9124 0.9124 0.9124
Al 0.0000 0.0000 0.0000
Sb 0.5000 0.5000 0.5000

Entry 4:
A plane-wave DFT calculation with GGA-PBE was carried out for a geometry-optimized Pa2AlSb4 structure.

ΔE_f (raw): -0.297 eV/atom
Crystal system: tetragonal
Total magnetization: 1.85 μB per formula unit
SG: P-4m2

Lattice parameters (Å, degrees): 4.4710 4.4710 9.2130 90.00 90.00 90.00
Element x y z (fractional)
Pa 0.0000 0.5000 0.2428
Pa 0.5000 0.0000 0.7572
Al 0.5000 0.5000 0.0000
Sb 0.0000 0.0000 0.5000
Sb 0.0000 0.5000 0.8340
Sb 0.5000 0.0000 0.1660
Sb 0.5000 0.5000 0.5000

Entry 5:
A plane-wave DFT calculation with GGA-PBE was carried out for a geometry-optimized PaAlSb2 structure.

ΔE_f (raw): -0.352 eV/atom
Crystal system: tetragonal
Total magnetization: 0.00 μB per formula unit
SG: P4/mmm

Lattice parameters (Å, degrees): 4.7825 4.7825 4.1270 90.00 90.00 90.00
Element x y z (fractional)
Pa 0.0000 0.0000 0.0000
Al 0.5000 0.5000 0.0000
Sb 0.0000 0.5000 0.5000
Sb 0.5000 0.0000 0.5000

Entry 6:
A plane-wave DFT calculation with GGA-PBE was carried out for a geometry-optimized PaAlSb2 structure.

ΔE_f (raw): 0.302 eV/atom
Crystal system: trigonal
Total magnetization: 0.00 μB per formula unit
SG: R-3m

Lattice parameters (Å, degrees): 10.4654 10.4654 10.4654 18.72 18.72 18.72
Element x y z (fractional)
Pa 0.0000 0.0000 0.0000
Al 0.5000 0.5000 0.5000
Sb 0.1013 0.1013 0.1013
Sb 0.8987 0.8987 0.8987

Entry 7:
A plane-wave DFT calculation with GGA-PBE was carried out for a geometry-optimized ScPa2Al9 structure.

ΔE_f: -3.77 eV/f.u.
Crystal system: tetragonal
Total magnetization: 0.00 μB per formula unit
SG: P4/mmm

Lattice parameters (Å, degrees): 4.2519 4.2519 12.6821 90.00 90.00 90.00
Element x y z (fractional)
Sc 0.0000 0.0000 0.0000
Pa 0.0000 0.0000 0.3286
Pa 0.0000 0.0000 0.6714
Al 0.0000 0.5000 0.1582
Al 0.0000 0.5000 0.5000
Al 0.0000 0.5000 0.8418
Al 0.5000 0.0000 0.1582
Al 0.5000 0.0000 0.5000
Al 0.5000 0.0000 0.8418
Al 0.5000 0.5000 0.0000
Al 0.5000 0.5000 0.3303
Al 0.5000 0.5000 0.6697

Entry 8:
A plane-wave DFT calculation with GGA-PBE was carried out for a geometry-optimized Sc3PaAl8 structure.

ΔE_f: -4.81 eV/f.u.
Crystal system: trigonal
Total magnetization: 0.00 μB per formula unit
SG: P3m1

Lattice parameters (Å, degrees): 5.3886 5.3886 8.9077 90.00 90.00 120.00
Element x y z (fractional)
Sc 0.0000 0.0000 0.0000
Sc 0.0000 0.0000 0.3662
Sc 0.3333 0.6667 0.8637
Pa 0.3333 0.6667 0.4992
Al 0.0090 0.5045 0.1819
Al 0.3260 0.1630 0.6880
Al 0.4955 0.5045 0.1819
Al 0.4955 0.9910 0.1819
Al 0.6667 0.3333 0.4319
Al 0.6667 0.3333 0.9394
Al 0.8370 0.1630 0.6880
Al 0.8370 0.6740 0.6880